1.
NiRu2Cl, PBEsol geometry, DFT SCAN; calculated volume = 53.1 Å³ per cell; excess energy over the best structure of this formula in the dataset = 204 kJ/mol of formula units
1.0
4.2183 0.0000 0.0000
2.1091 3.6531 0.0000
2.1091 1.2177 3.4442
Ru Ni Cl
2 1 1
Cartesian
6.3274 3.6531 2.5832
0.0000 0.0000 0.0000
2.1091 1.2177 0.8611
4.2183 2.4354 1.7221

***

2.
NiRuCl2, PBEsol geometry, DFT SCAN; calculated volume = 61.2 Å³ per cell; excess energy over the best structure of this formula in the dataset = 36 kJ/mol of formula units
1.0
-2.0376 -0.5979 -2.5903
2.4541 -1.6780 -1.5431
-1.8734 -3.4829 4.4432
Cl Ru Ni
2 1 1
Cartesian
0.0000 0.0000 0.0000
-1.8514 -2.6093 -0.1070
0.3944 -3.1494 0.4166
0.2082 -1.1379 -2.0667

***

3.
NiRuCl2, PBEsol geometry, DFT SCAN; calculated volume = 60.4 Å³ per cell; excess energy over the best structure of this formula in the dataset = 26 kJ/mol of formula units
1.0
-2.4948 -0.3399 1.7806
-0.0743 -3.6755 -3.0281
3.7309 -0.7774 2.8567
Ru Cl Ni
1 2 1
Cartesian
1.8283 -2.2264 -0.0857
1.8655 -0.3887 1.4283
-0.0371 -1.8378 -1.5141
0.0000 0.0000 0.0000

***

4.
NiRuCl2, PBEsol geometry, DFT SCAN; calculated volume = 54.4 Å³ per cell; excess energy over the best structure of this formula in the dataset = 125 kJ/mol of formula units
1.0
-0.1691 1.5431 -2.5673
-4.2507 -0.1804 0.1716
-0.0685 3.6470 2.1966
Cl Ni Ru
2 1 1
Cartesian
-2.1253 -0.0902 0.0858
-0.0343 1.8235 1.0983
-0.0846 0.7716 -1.2837
-2.2442 2.5048 -0.0996